Here is Mn6SiB2 after structural relaxation from the Alexandria database. Energies are from PBE.

The structure in POSCAR format:
```
Mn6SiB2
1.0
-1.6855 -3.3227 4.8712
5.8916 -0.7126 -1.5463
-0.4380 6.0195 1.0879
Mn Si B
12 2 4
Direct
0.4809 0.2883 0.1926
0.5191 0.7117 0.8074
0.9042 0.7117 0.1926
0.0958 0.2883 0.8074
0.2012 0.7552 0.9563
0.7988 0.2448 0.0437
0.7988 0.7552 0.5540
0.2012 0.2448 0.4460
0.2996 0.9786 0.6790
0.7004 0.0214 0.3210
0.7004 0.3794 0.6790
0.2996 0.6206 0.3210
0.0000 0.5000 0.5000
0.0000 0.0000 0.0000
0.5000 0.3826 0.8826
0.5000 0.6174 0.1174
0.3602 0.0000 0.3602
0.6398 0.0000 0.6398
```

Symmetry: No. 71

***

Here is MnSiB2 after structural relaxation from the Alexandria database. Energies are from PBE.

The structure in POSCAR format:
```
MnSiB2
1.0
5.4356 0.0000 0.0000
0.0000 5.4356 0.0000
2.7178 2.7178 2.6918
Si Mn B
2 2 4
Direct
0.5000 0.5000 0.0000
0.2500 0.7500 0.5000
0.0000 0.0000 0.0000
0.7500 0.2500 0.5000
0.6208 0.1250 0.2500
0.1292 0.6250 0.2500
0.3750 0.3792 0.7500
0.8750 0.8708 0.7500
```

Symmetry: No. 122

***

Here is MnSi3B after structural relaxation from the Alexandria database. Energies are from PBE.

The structure in POSCAR format:
```
MnSi3B
1.0
-1.0857 -0.4562 3.8284
-2.6079 -2.8425 -1.0783
2.8396 -2.7850 0.4734
Si Mn B
3 1 1
Direct
0.0000 0.5000 0.0000
0.0000 0.0000 0.5000
0.5000 0.0000 0.0000
0.5000 0.5000 0.5000
0.0000 0.0000 0.0000
```

Relative energy among the computed polymorphs (eV/f.u.): 0.000
Symmetry: No. 221

***

Here is Mn5SiTc2B2 after structural relaxation from the Alexandria database. Energies are from PBE.

The structure in POSCAR format:
```
Mn5SiTc2B2
1.0
2.7796 0.0000 0.0000
0.0000 8.6650 0.0000
0.0000 0.0000 8.6650
Mn Si Tc B
10 2 4 4
Direct
0.5000 0.2126 0.0605
0.5000 0.7874 0.9395
0.5000 0.0605 0.7874
0.5000 0.7126 0.4395
0.5000 0.9395 0.2126
0.5000 0.2874 0.5605
0.5000 0.5605 0.7126
0.5000 0.4395 0.2874
0.5000 0.5000 0.0000
0.5000 0.0000 0.5000
0.0000 0.0000 0.0000
0.0000 0.5000 0.5000
0.0000 0.6788 0.1788
0.0000 0.3212 0.8212
0.0000 0.1788 0.3212
0.0000 0.8212 0.6788
0.0000 0.1248 0.6248
0.0000 0.8752 0.3752
0.0000 0.6248 0.8752
0.0000 0.3752 0.1248
```

Symmetry: No. 127

***

Here is MnSiBTe2 after structural relaxation from the Alexandria database. Energies are from PBE.

The structure in POSCAR format:
```
MnSiBTe2
1.0
5.1474 0.0000 0.0000
0.0000 3.7970 0.0000
0.0000 0.0000 5.1474
Si Te B Mn
1 2 1 1
Direct
0.5000 0.5000 0.5000
0.0000 0.0000 0.5000
0.5000 0.0000 0.0000
0.0000 0.5000 0.0000
0.0000 0.0000 0.0000
```

Symmetry: No. 123

***

Here is MnVSiB after structural relaxation from the Alexandria database. Energies are from PBE.

The structure in POSCAR format:
```
MnVSiB
1.0
3.9412 0.0000 0.0001
0.0000 2.7859 0.0000
-1.6952 0.0000 7.9538
Si Mn B V
2 2 2 2
Direct
0.0564 0.0000 0.6208
0.0564 0.5000 0.1208
0.1845 0.0000 0.9094
0.1845 0.5000 0.4094
0.7029 0.0000 0.9800
0.7029 0.5000 0.4800
0.6134 0.0000 0.2498
0.6134 0.5000 0.7498
```

Relative energy among the computed polymorphs (eV/f.u.): 0.698
Symmetry: No. 8

***

Here is MnVSiB after structural relaxation from the Alexandria database. Energies are from PBE.

The structure in POSCAR format:
```
MnVSiB
1.0
-1.5318 2.2308 1.0991
-4.1688 -0.6234 -0.6256
-2.3019 -1.3083 3.3326
Si Mn B V
1 1 1 1
Direct
0.1708 0.0343 0.2485
0.3792 0.2829 0.5836
0.8781 0.5884 0.2788
0.5602 0.6517 0.8521
```

Relative energy among the computed polymorphs (eV/f.u.): 0.607
Symmetry: No. 1

***

Here is MnVSiB after structural relaxation from the Alexandria database. Energies are from PBE.

The structure in POSCAR format:
```
MnVSiB
1.0
3.6196 0.0000 0.0000
-1.8098 3.1346 0.0000
0.0000 0.0000 12.0157
Si Mn B V
3 3 3 3
Direct
0.0000 0.0000 0.8105
0.3333 0.6667 0.4771
0.6667 0.3333 0.1438
0.0000 0.0000 0.3800
0.3333 0.6667 0.0466
0.6667 0.3333 0.7133
0.0000 0.0000 0.9911
0.3333 0.6667 0.6577
0.6667 0.3333 0.3244
0.0000 0.0000 0.5985
0.3333 0.6667 0.2652
0.6667 0.3333 0.9318
```

Relative energy among the computed polymorphs (eV/f.u.): 0.696
Symmetry: No. 160

***

Here is MnVSiB after structural relaxation from the Alexandria database. Energies are from PBE.

The structure in POSCAR format:
```
MnVSiB
1.0
-1.6626 1.3884 2.2872
-1.3791 -2.8363 0.7192
6.2360 -1.6317 5.5237
Si Mn B V
2 2 2 2
Direct
0.0000 0.0000 0.0415
0.0000 0.5000 0.5415
0.5000 0.0000 0.4638
0.5000 0.5000 0.9638
0.5000 0.0000 0.2050
0.5000 0.5000 0.7050
0.0000 0.0000 0.7569
0.0000 0.5000 0.2569
```

Relative energy among the computed polymorphs (eV/f.u.): 0.000
Symmetry: No. 38

***

Here is MnVSiB after structural relaxation from the Alexandria database. Energies are from PBE.

The structure in POSCAR format:
```
MnVSiB
1.0
-2.5613 3.2140 2.0875
-2.6603 -0.6339 -2.2882
-0.4993 -5.7464 2.1723
Si Mn B V
2 2 2 2
Direct
0.3623 0.0000 0.4774
0.3623 0.5000 0.9774
0.0723 0.0000 0.0469
0.0723 0.5000 0.5469
0.5369 0.0000 0.8690
0.5369 0.5000 0.3690
0.7453 0.0000 0.2718
0.7453 0.5000 0.7718
```

Relative energy among the computed polymorphs (eV/f.u.): 1.559
Symmetry: No. 160

***

Here is MnVSiB after structural relaxation from the Alexandria database. Energies are from PBE.

The structure in POSCAR format:
```
MnVSiB
1.0
2.7513 0.0000 0.0267
0.0000 3.5070 0.0000
-0.8208 0.0000 4.4101
Si Mn B V
1 1 1 1
Direct
0.0430 0.0000 0.8567
0.6508 0.5000 0.0330
0.7541 0.0000 0.3304
0.2406 0.5000 0.5053
```

Relative energy among the computed polymorphs (eV/f.u.): 0.746
Symmetry: No. 6

***

Here is MnVSiB after structural relaxation from the Alexandria database. Energies are from PBE.

The structure in POSCAR format:
```
MnVSiB
1.0
-0.1550 -1.8324 -2.1987
2.8612 -0.1565 -0.0713
-0.1306 -3.8575 3.2240
Si Mn B V
1 1 1 1
Direct
0.0000 0.0000 0.2145
0.5000 0.5000 0.4668
0.5000 0.5000 0.9788
0.0000 0.0000 0.7451
```

Relative energy among the computed polymorphs (eV/f.u.): 0.749
Symmetry: No. 99

***

Which spin magnetization belongs to each record? In order, 7.60 0.00 0.19 0.01 1.55 1.68 0.00 0.00 4.45 2.00 0.00 0.00 μB per cell.
Which raw formation energy belongs to each record? In order, -7.48 17.73 22.87 -7.30 16.94 -4.13 -4.65 -4.14 -8.15 0.84 -3.85 -3.83 kcal/mol of atoms.
Which E belongs to each record? In order, -8.524 -6.218 -5.432 -8.852 -4.776 -7.776 -7.799 -7.777 -7.951 -7.561 -7.764 -7.763 eV per atom.